In5P, relaxed, DFT PBE; distance to the lowest polymorph of the same formula = 45.4 meV per atom; space-group type = Cmmm, No. 65; energy relative to the elements = 119 meV/atom
1.0
-4.891 2.892 -5.137
2.427 -5.973 4.136
-3.176 1.318 3.766
In P
5 1
Direct
0.332 0.668 0.500
0.144 0.856 0.000
0.000 0.000 0.500
0.856 0.144 0.000
0.668 0.332 0.500
0.500 0.500 0.000